No. 1
VASP calculation (GGA-PBE) on a relaxed Li2Os2Br crystal.

## Properties
- raw formation energy (eV/atom) = 0.06
- distance to the lowest polymorph of the same formula (meV/atom) = 0

Cell and atoms, written as CIF:
```
data_Li2Os2Br
_chemical_formula_sum 'Li4 Os4 Br2'
_cell_length_a 3.475
_cell_length_b 3.475
_cell_length_c 15.792
_cell_angle_alpha 90.00
_cell_angle_beta 90.00
_cell_angle_gamma 90.00
_symmetry_space_group_name_H-M 'I 4/m m m'
_symmetry_Int_Tables_number 139
_symmetry_space_group_name_Hall '-I 4 2'
loop_
_atom_site_label
_atom_site_type_symbol
_atom_site_fract_x
_atom_site_fract_y
_atom_site_fract_z
Li1 Li 0.000 0.000 0.098
Os1 Os 0.000 0.500 0.250
Br1 Br 0.000 0.000 0.500
```


No. 2
VASP calculation (GGA-PBE) on a relaxed Ba2NaH3 crystal.

## Properties
- total energy (eV/cell) = -69.3

Cell and atoms, written as CIF:
```
data_Ba2NaH3
_chemical_formula_sum 'Ba8 Na4 H12'
_cell_length_a 14.893
_cell_length_b 4.464
_cell_length_c 10.740
_cell_angle_alpha 90.00
_cell_angle_beta 112.24
_cell_angle_gamma 90.00
_symmetry_space_group_name_H-M 'C 1 2/m 1'
_symmetry_Int_Tables_number 12
loop_
_symmetry_equiv_pos_as_xyz
'x,y,z'
'-x,-y,-z'
'-x,y,-z'
'x,-y,z'
'x+1/2,y+1/2,z'
'-x+1/2,-y+1/2,-z'
'-x+1/2,y+1/2,-z'
'x+1/2,-y+1/2,z'
loop_
_atom_site_label
_atom_site_type_symbol
_atom_site_fract_x
_atom_site_fract_y
_atom_site_fract_z
Ba1 Ba 0.003 0.000 0.282
Ba2 Ba 0.159 0.500 0.079
Na1 Na 0.206 0.500 0.600
H1 H 0.001 0.500 0.850
H2 H 0.150 0.000 0.210
H3 H 0.162 0.000 0.928
```